[1]
# La2MnPb (PBE-GGA, optimized geometry)
data_La2MnPb
_chemical_formula_sum 'La8 Mn4 Pb4'
_symmetry_space_group_name_H-M 'I -4 2 d'
_symmetry_Int_Tables_number 122
_symmetry_space_group_name_Hall 'I -4 2bw'
_cell_length_a 8.4415
_cell_length_b 8.4415
_cell_length_c 6.4262
_cell_angle_alpha 90.00
_cell_angle_beta 90.00
_cell_angle_gamma 90.00
loop_
_atom_site_label
_atom_site_fract_x
_atom_site_fract_y
_atom_site_fract_z
_atom_site_occupancy
La1 0.1974 0.2500 0.1250 1
Mn1 0.0000 0.0000 0.0000 1
Pb1 0.0000 0.0000 0.5000 1
# **E**: -5.524 eV/atom
# **DFT formation energy**: 15.4 kJ per mole of atoms
# **Magnetic moment**: 0.601 μB/atom

[2]
# LaMnPb2 (PBE-GGA, optimized geometry)
data_LaMnPb2
_chemical_formula_sum 'La3 Mn3 Pb6'
_symmetry_space_group_name_H-M 'R 3 m'
_symmetry_Int_Tables_number 160
_symmetry_space_group_name_Hall 'R 3 -2"'
_cell_length_a 3.5333
_cell_length_b 3.5333
_cell_length_c 31.4856
_cell_angle_alpha 90.00
_cell_angle_beta 90.00
_cell_angle_gamma 120.00
loop_
_atom_site_label
_atom_site_fract_x
_atom_site_fract_y
_atom_site_fract_z
_atom_site_occupancy
La1 0.0000 0.0000 0.0000 1
Mn1 0.0000 0.0000 0.7458 1
Pb1 0.0000 0.0000 0.2393 1
Pb2 0.0000 0.0000 0.4832 1
# **E**: -5.114 eV/atom
# **DFT formation energy**: 25.5 kJ per mole of atoms
# **Magnetic moment**: 0.994 μB/atom

[3]
# LaMnPb2 (PBE-GGA, optimized geometry)
data_LaMnPb2
_chemical_formula_sum 'La1 Mn1 Pb2'
_symmetry_space_group_name_H-M 'P 1 2/m 1'
_symmetry_Int_Tables_number 10
_symmetry_space_group_name_Hall '-P 2y'
_cell_length_a 3.6031
_cell_length_b 4.7177
_cell_length_c 6.5757
_cell_angle_alpha 90.00
_cell_angle_beta 97.21
_cell_angle_gamma 90.00
loop_
_atom_site_label
_atom_site_fract_x
_atom_site_fract_y
_atom_site_fract_z
_atom_site_occupancy
La1 0.0000 0.0000 0.0000 1
Mn1 0.5000 0.0000 0.5000 1
Pb1 0.3622 0.5000 0.7274 1
# **E**: -5.405 eV/atom
# **DFT formation energy**: -2.5 kJ per mole of atoms
# **Magnetic moment**: 0.893 μB/atom

[4]
# LaMnPb2 (PBE-GGA, optimized geometry)
data_LaMnPb2
_chemical_formula_sum 'La1 Mn1 Pb2'
_symmetry_space_group_name_H-M 'P 4/m m m'
_symmetry_Int_Tables_number 123
_symmetry_space_group_name_Hall '-P 4 2'
_cell_length_a 4.8454
_cell_length_b 4.8454
_cell_length_c 4.6650
_cell_angle_alpha 90.00
_cell_angle_beta 90.00
_cell_angle_gamma 90.00
loop_
_atom_site_label
_atom_site_fract_x
_atom_site_fract_y
_atom_site_fract_z
_atom_site_occupancy
La1 0.0000 0.0000 0.0000 1
Mn1 0.5000 0.5000 0.0000 1
Pb1 0.0000 0.5000 0.5000 1
# **E**: -5.464 eV/atom
# **DFT formation energy**: -8.3 kJ per mole of atoms
# **Magnetic moment**: 1.085 μB/atom

[5]
# La4MnPb (PBE-GGA, optimized geometry)
data_La4MnPb
_chemical_formula_sum 'La16 Mn4 Pb4'
_symmetry_space_group_name_H-M 'F -4 3 m'
_symmetry_Int_Tables_number 216
_symmetry_space_group_name_Hall 'F -4 2 3'
_cell_length_a 9.1988
_cell_length_b 9.1988
_cell_length_c 9.1988
_cell_angle_alpha 90.00
_cell_angle_beta 90.00
_cell_angle_gamma 90.00
loop_
_atom_site_label
_atom_site_fract_x
_atom_site_fract_y
_atom_site_fract_z
_atom_site_occupancy
La1 0.1251 0.1251 0.1251 1
Mn1 0.2500 0.2500 0.7500 1
Pb1 0.0000 0.0000 0.5000 1
# **E**: -5.054 eV/atom
# **DFT formation energy**: 36.4 kJ per mole of atoms
# **Magnetic moment**: 0.590 μB/atom

[6]
# La2MnPbS5 (PBE-GGA, optimized geometry)
data_La2MnPbS5
_chemical_formula_sum 'La8 Mn4 Pb4 S20'
_symmetry_space_group_name_H-M 'C m c 21'
_symmetry_Int_Tables_number 36
_symmetry_space_group_name_Hall 'C 2c -2'
_cell_length_a 3.9888
_cell_length_b 17.4800
_cell_length_c 11.9252
_cell_angle_alpha 90.00
_cell_angle_beta 90.00
_cell_angle_gamma 90.00
loop_
_atom_site_label
_atom_site_fract_x
_atom_site_fract_y
_atom_site_fract_z
_atom_site_occupancy
La1 0.0000 0.1040 0.0000 1
La2 0.0000 0.1279 0.6432 1
Mn1 0.0000 0.4730 0.7278 1
Pb1 0.0000 0.1890 0.3449 1
S1 0.0000 0.0109 0.2939 1
S2 0.0000 0.2791 0.0202 1
S3 0.0000 0.3497 0.3221 1
S4 0.0000 0.3524 0.6678 1
S5 0.0000 0.4804 0.0519 1
# **E**: -6.123 eV/atom
# **Energy relative to the elements, uncorrected**: -1304.6 meV/atom
# **Magnetic moment**: 0.012 μB/atom

| no. | calculated density (kg/m³) |
| --- | --- |
| 1 | 7832 |
| 2 | 8901 |
| 3 | 9108 |
| 4 | 9222 |
| 5 | 6978 |
| 6 | 5594 |